Entry from Alexandria: a relaxed TiGa2Re2 crystal (GGA-PBE).

Output
The calculation puts the formation energy from the elements at 0.0220 eV per atom. The space group is P4/mbm. The calculation puts the density at 12.2 g cm⁻³. Its size of the total moment is 0.0 μB per formula unit.

Cell: 6.899 6.899 3.190 Å, 90.00 90.00 90.00°
Fractional coordinates of all 10 atoms:
Ti 0.000 0.000 0.000
Ti 0.500 0.500 0.000
Ga 0.136 0.364 0.000
Ga 0.364 0.864 0.000
Ga 0.636 0.136 0.000
Ga 0.864 0.636 0.000
Re 0.161 0.661 0.500
Re 0.339 0.161 0.500
Re 0.661 0.839 0.500
Re 0.839 0.339 0.500